Entry from Alexandria via LeMat-Bulk: MgNi2Rh after structural relaxation (PBE-GGA).

Total magnetization (μB/f.u.): 1.51
Space-group type: No. 166
ΔH_f (0 K) (kJ/mol of formula units): 34

Lattice parameters (Å, degrees): 8.579 8.579 8.579 18.18 18.18 18.18
Sites, in units of the cell vectors:
Mg: 0.750 0.750 0.750
Ni: 0.999 0.999 0.999
Ni: 0.501 0.501 0.501
Rh: 0.250 0.250 0.250